No. 1
VASP calculation (PBE) on a relaxed structure of Ba2Sr2In.

a = 9.0730 Å, b = 9.0730 Å, c = 6.5075 Å
α = 90.00°, β = 90.00°, γ = 90.00°
Last column: nearest neighbours and their distance in Å.
Space group P4/mbm (No. 127)
Symmetry-distinct sites (fractional):
Ba1 0.1495 0.3505 0.0000 [4 per cell]  2 In 3.46, 1 Ba 3.84
Sr1 0.1697 0.6697 0.5000 [4 per cell]  6 Ba 4.00-4.36, 1 Sr 4.36
In1 0.0000 0.0000 0.0000 [2 per cell]  4 Ba 3.46

DOS at the Fermi energy	1.563	states/eV/atom
calculated volume	53.57	Å³ per atom
formation energy	72	meV/atom
total DFT energy (no corrections)	-1.917	eV per atom
magnetic moment	0.0	μB per cell

***

No. 2
VASP calculation (PBE) on a relaxed structure of BaOsCl.

a = 3.3916 Å, b = 3.3916 Å, c = 13.8406 Å
α = 90.00°, β = 90.00°, γ = 90.00°
Last column: nearest neighbours and their distance in Å.
Space group I4mm (No. 107)
Symmetry-distinct sites (fractional):
Ba1 0.0000 0.0000 0.0000 [2 per cell]  4 Cl 3.13, 4 Os 3.38, 4 Ba 3.39
Os1 0.0000 0.0000 0.3278 [2 per cell]  4 Ba 3.38, 4 Os 3.39, 4 Cl 3.48
Cl1 0.0000 0.0000 0.6452 [2 per cell]  4 Ba 3.13, 4 Cl 3.39, 4 Os 3.48

DOS at the Fermi energy	0.556	states/eV/atom
formation energy without anion corrections	13.75	kcal/mol of atoms
calculated volume	26.53	Å³ per atom
total DFT energy (no corrections)	-4.403	eV per atom
magnetic moment	3.7	μB per cell

***

No. 3
VASP calculation (PBE) on a relaxed structure of Ho5ErPt4.

a = 18.6265 Å, b = 4.1160 Å, c = 7.6228 Å
α = 90.00°, β = 114.06°, γ = 90.00°
Last column: nearest neighbours and their distance in Å.
Space group C2/m (No. 12)
Symmetry-distinct sites (fractional):
Ho1 0.0000 0.0000 0.0000 [2 per cell]  4 Pt 2.79
Ho2 0.1638 0.5000 0.4226 [4 per cell]  4 Pt 2.79-2.93
Ho3 0.1638 0.5000 0.9056 [4 per cell]  4 Pt 2.79-2.93
Er1 0.0000 0.0000 0.5000 [2 per cell]  4 Pt 2.82
Pt1 0.0000 0.5000 0.2476 [4 per cell]  4 Ho 2.79, 2 Er 2.82
Pt2 0.2085 0.0000 0.7085 [4 per cell]  6 Ho 2.86-2.93

DOS at the Fermi energy	0.582	states/eV/atom
calculated volume	26.68	Å³ per atom
formation energy	-1013	meV/atom
total DFT energy (no corrections)	-6.175	eV per atom
magnetic moment	0.0	μB per cell

***

No. 4
VASP calculation (PBE) on a relaxed structure of TbErGaRh.

a = 7.0031 Å, b = 7.0031 Å, c = 7.0031 Å
α = 90.00°, β = 90.00°, γ = 90.00°
Last column: nearest neighbours and their distance in Å.
Space group F-43m (No. 216)
Symmetry-distinct sites (fractional):
Tb1 0.0000 0.0000 0.0000 [4 per cell]  4 Rh 3.03, 4 Ga 3.03
Er1 0.0000 0.0000 0.5000 [4 per cell]  4 Rh 3.03, 4 Ga 3.03
Ga1 0.2500 0.2500 0.2500 [4 per cell]  4 Tb 3.03, 4 Er 3.03
Rh1 0.2500 0.2500 0.7500 [4 per cell]  4 Tb 3.03, 4 Er 3.03

DOS at the Fermi energy	0.557	states/eV/atom
calculated volume	21.47	Å³ per atom
formation energy	-689	meV/atom
total DFT energy (no corrections)	-5.582	eV per atom
magnetic moment	0.0	μB per cell

***

No. 5
VASP calculation (PBE) on a relaxed structure of InHgSe2.

a = 4.2045 Å, b = 4.2045 Å, c = 20.7436 Å
α = 90.00°, β = 90.00°, γ = 120.00°
Last column: nearest neighbours and their distance in Å.
Space group R3m (No. 160, hexagonal axes)
Symmetry-distinct sites (fractional):
In1 0.0000 0.0000 0.0000 [3 per cell]  3 Se 2.76
Hg1 0.0000 0.0000 0.2323 [3 per cell]  3 Se 2.70
Se1 0.0000 0.0000 0.5084 [3 per cell]  3 Hg 2.70
Se2 0.0000 0.0000 0.7295 [3 per cell]  3 In 2.76

DOS at the Fermi energy	0.441	states/eV/atom
formation energy without anion corrections	-2.31	kcal/mol of atoms
calculated volume	26.46	Å³ per atom
total DFT energy (no corrections)	-2.603	eV per atom
magnetic moment	0.0	μB per cell

***

No. 6
VASP calculation (PBE) on a relaxed structure of Sm8YSc2.

a = 5.4743 Å, b = 8.4092 Å, c = 15.5313 Å
α = 90.00°, β = 90.00°, γ = 90.00°
Last column: nearest neighbours and their distance in Å.
Space group Immm (No. 71)
Symmetry-distinct sites (fractional):
Sm1 0.0000 0.0000 0.1603 [4 per cell]  2 Sc 3.47, 8 Sm 3.48-3.72, 2 Y 3.70
Sm2 0.0000 0.2017 0.3563 [8 per cell]  3 Sc 3.35-3.47, 1 Y 3.36, 6 Sm 3.39-3.72
Sm3 0.0000 0.3032 0.0000 [4 per cell]  7 Sm 3.31-3.56, 2 Sc 3.55
Y1 0.0000 0.5000 0.5000 [2 per cell]  12 Sm 3.36-3.74
Sc1 0.0000 0.5000 0.2024 [4 per cell]  10 Sm 3.35-3.55

DOS at the Fermi energy	1.712	states/eV/atom
calculated volume	32.50	Å³ per atom
formation energy	125	meV/atom
total DFT energy (no corrections)	-5.046	eV per atom
magnetic moment	0.0	μB per cell

***

No. 7
VASP calculation (PBE) on a relaxed structure of LiAl5Ir4.

a = 3.0213 Å, b = 3.0213 Å, c = 15.0505 Å
α = 90.00°, β = 90.00°, γ = 90.00°
Last column: nearest neighbours and their distance in Å.
Space group P4/mmm (No. 123)
Symmetry-distinct sites (fractional):
Li1 0.0000 0.0000 0.0000 [1 per cell]  8 Al 2.60
Al1 0.5000 0.5000 0.0984 [2 per cell]  4 Ir 2.59, 4 Li 2.60
Al2 0.5000 0.5000 0.2984 [2 per cell]  8 Ir 2.62-2.63
Al3 0.5000 0.5000 0.5000 [1 per cell]  8 Ir 2.62
Ir1 0.0000 0.0000 0.1962 [2 per cell]  8 Al 2.59-2.63
Ir2 0.0000 0.0000 0.3995 [2 per cell]  8 Al 2.62

DOS at the Fermi energy	0.190	states/eV/atom
calculated volume	13.74	Å³ per atom
formation energy	-796	meV/atom
total DFT energy (no corrections)	-6.403	eV per atom
magnetic moment	0.0	μB per cell

***

No. 8
VASP calculation (PBE) on a relaxed structure of Pr7Tl3Cd.

a = 11.6734 Å, b = 11.9916 Å, c = 6.0071 Å
α = 90.00°, β = 120.83°, γ = 90.00°
Last column: nearest neighbours and their distance in Å.
Space group C2/m (No. 12)
Symmetry-distinct sites (fractional):
Pr1 0.0000 0.0000 0.0000 [2 per cell]  2 Cd 3.00, 2 Tl 3.19
Pr2 0.1731 0.2706 0.6734 [8 per cell]  4 Tl 3.25-3.47, 4 Pr 3.41-3.57
Pr3 0.1788 0.5000 0.1783 [4 per cell]  1 Cd 3.22, 4 Tl 3.33-3.50, 3 Pr 3.57-3.58
Tl1 0.0000 0.2658 0.0000 [4 per cell]  9 Pr 3.19-3.47
Tl2 0.0000 0.5000 0.5000 [2 per cell]  8 Pr 3.25-3.50
Cd1 0.0000 0.0000 0.5000 [2 per cell]  4 Pr 3.00-3.22

DOS at the Fermi energy	0.918	states/eV/atom
calculated volume	32.82	Å³ per atom
formation energy	-143	meV/atom
total DFT energy (no corrections)	-3.913	eV per atom
magnetic moment	0.0	μB per cell

***

No. 9
VASP calculation (PBE) on a relaxed structure of K4TaPt.

a = 9.2342 Å, b = 9.2342 Å, c = 9.2342 Å
α = 90.00°, β = 90.00°, γ = 90.00°
Last column: nearest neighbours and their distance in Å.
Space group F-43m (No. 216)
Symmetry-distinct sites (fractional):
K1 0.1234 0.1234 0.1234 [16 per cell]  6 K 3.22-3.31
Ta1 0.0000 0.0000 0.5000 [4 per cell]  12 K 3.83, 4 Pt 4.00
Pt1 0.2500 0.2500 0.7500 [4 per cell]  12 K 3.82, 4 Ta 4.00

DOS at the Fermi energy	1.176	states/eV/atom
calculated volume	32.81	Å³ per atom
formation energy	1327	meV/atom
total DFT energy (no corrections)	-2.387	eV per atom
magnetic moment	19.3	μB per cell

***

No. 10
VASP calculation (PBE) on a relaxed structure of YZr2Se.

a = 5.9661 Å, b = 8.8292 Å, c = 3.4788 Å
α = 90.00°, β = 90.00°, γ = 90.00°
Last column: nearest neighbours and their distance in Å.
Space group Cmmm (No. 65)
Symmetry-distinct sites (fractional):
Y1 0.0000 0.0000 0.0000 [2 per cell]  2 Se 2.98, 8 Zr 3.18
Zr1 0.2500 0.2500 0.5000 [4 per cell]  2 Zr 2.98, 4 Se 3.18, 4 Y 3.18
Se1 0.0000 0.5000 0.0000 [2 per cell]  2 Y 2.98, 8 Zr 3.18

DOS at the Fermi energy	0.908	states/eV/atom
formation energy without anion corrections	-5.74	kcal/mol of atoms
calculated volume	22.91	Å³ per atom
total DFT energy (no corrections)	-7.010	eV per atom
magnetic moment	0.0	μB per cell

***

No. 11
VASP calculation (PBE) on a relaxed structure of Al2CrSe.

a = 3.2688 Å, b = 3.2688 Å, c = 5.8088 Å
α = 90.00°, β = 90.00°, γ = 90.00°
Last column: nearest neighbours and their distance in Å.
Space group P4/mmm (No. 123)
Symmetry-distinct sites (fractional):
Al1 0.0000 0.0000 0.2278 [2 per cell]  1 Al 2.65, 4 Cr 2.66, 4 Se 2.80
Cr1 0.5000 0.5000 0.0000 [1 per cell]  8 Al 2.66, 2 Se 2.90
Se1 0.5000 0.5000 0.5000 [1 per cell]  8 Al 2.80, 2 Cr 2.90

DOS at the Fermi energy	0.549	states/eV/atom
formation energy without anion corrections	0.16	kcal/mol of atoms
calculated volume	15.52	Å³ per atom
total DFT energy (no corrections)	-5.141	eV per atom
magnetic moment	1.9	μB per cell

***

No. 12
VASP calculation (PBE) on a relaxed structure of ReW2Cl.

a = 2.8820 Å, b = 2.8820 Å, c = 26.1607 Å
α = 90.00°, β = 90.00°, γ = 120.00°
Last column: nearest neighbours and their distance in Å.
Space group R-3m (No. 166, hexagonal axes)
Symmetry-distinct sites (fractional):
Re1 0.0000 0.0000 0.0000 [3 per cell]  6 W 2.75, 6 Re 2.88
W1 0.0000 0.0000 0.2496 [6 per cell]  3 Cl 2.73, 3 Re 2.75, 6 W 2.88
Cl1 0.0000 0.0000 0.5000 [3 per cell]  6 W 2.73, 6 Cl 2.88

DOS at the Fermi energy	0.834	states/eV/atom
formation energy without anion corrections	9.29	kcal/mol of atoms
calculated volume	15.68	Å³ per atom
total DFT energy (no corrections)	-9.648	eV per atom
magnetic moment	0.0	μB per cell